Record 1
Here is a relaxed YAlHg crystal from the Alexandria database. Energies are from PBE.

Crystal system: trigonal
Relative energy among the computed polymorphs, eV per atom: 0.068
Calculated formation energy, eV/atom: -0.414
V, Å³ per atom: 23.3
Energy, Ry/atom: -0.2879

Cell: 4.7160 4.7160 7.2563 Å, 90.00 90.00 120.00°
Closest atoms and distances in Å follow each position.
Space group P-3m1 (No. 164)
Symmetry-distinct sites (fractional):
Y 0.0000 0.0000 0.2495 x2  3 Hg 3.07, 6 Al 3.16-3.39
Al 0.3333 0.6667 0.4711 x2  3 Al 2.75, 1 Hg 3.02
Hg 0.3333 0.6667 0.0555 x2  3 Hg 2.84, 1 Al 3.02, 3 Y 3.07



Record 2
Here is a relaxed Y6Al5Hg crystal from the Alexandria database. Energies are from PBE.

Crystal system: orthorhombic
Calculated formation energy, eV/atom: -0.426
V, Å³ per atom: 24.0
Energy, Ry/atom: -0.3853

Cell: 5.1501 15.4547 7.2310 Å, 90.00 90.00 90.00°
Closest atoms and distances in Å follow each position.
Space group Cmmm (No. 65)
Symmetry-distinct sites (fractional):
Y 0.0000 0.0000 0.2476 x4  6 Al 3.13-3.15, 2 Hg 3.16
Y 0.0000 0.3323 0.2483 x8  7 Al 3.13-3.15, 1 Hg 3.17
Al 0.0000 0.1662 0.0000 x4  8 Y 3.13-3.14
Al 0.0000 0.1661 0.5000 x4  8 Y 3.15
Al 0.0000 0.5000 0.0000 x2  8 Y 3.14-3.15
Hg 0.0000 0.5000 0.5000 x2  8 Y 3.16-3.17



Record 3
Here is a relaxed YAl2Hg crystal from the Alexandria database. Energies are from PBE.

Crystal system: orthorhombic
Relative energy among the computed polymorphs, eV per atom: 0.090
Calculated formation energy, eV/atom: -0.258
V, Å³ per atom: 22.1
Energy, Ry/atom: -0.2808

Cell: 3.4249 4.5539 5.6761 Å, 90.00 90.00 90.00°
Closest atoms and distances in Å follow each position.
Space group Pmmm (No. 47)
Symmetry-distinct sites (fractional):
Y 0.0000 0.0000 0.0000 x1  8 Al 3.15, 4 Hg 3.31, 2 Y 3.42
Al 0.5000 0.5000 0.2367 x2  2 Al 2.69-2.99, 2 Hg 2.72
Hg 0.5000 0.0000 0.5000 x1  4 Al 2.72